1 | TaMnCl: optimized geometry, PBE.

```
TaMnCl
1.0
-2.584 1.632 -0.859
1.737 -1.495 -2.198
-3.385 -4.983 0.715
Cl Ta Mn
1 1 1
direct
0.000 0.000 0.969
0.333 0.667 0.643
0.667 0.333 0.388
```

Values from the calculation:
Its total moment is 0.002 μB per cell.



2 | TaMnCl: optimized geometry, PBE.

```
TaMnCl
1.0
6.784 0.002 -0.001
5.868 2.834 0.005
0.916 -0.966 2.662
Ta Mn Cl
1 1 1
direct
0.670 0.670 0.330
0.329 0.329 0.671
0.001 0.001 0.999
```

Values from the calculation:
Its total moment is 2.938 μB per cell.



Least stable structure: 2



1 | TaMnCl2: optimized geometry, PBE.

```
TaMnCl2
1.0
3.149 0.000 0.000
0.000 3.446 -0.014
0.000 1.555 7.920
Ta Mn Cl
1 1 2
direct
0.500 0.967 0.685
0.000 0.522 0.524
0.500 0.153 0.361
0.000 0.858 0.929
```

Values from the calculation:
Its total moment is 2.190 μB per cell.



2 | TaMnCl2: optimized geometry, PBE.

```
TaMnCl2
1.0
-0.613 -6.372 1.665
-0.416 -5.425 -3.761
2.972 5.476 2.220
Mn Ta Cl
1 1 2
direct
0.569 0.569 0.000
0.753 0.253 0.500
0.934 0.934 0.000
0.243 0.743 0.500
```

Values from the calculation:
Its total moment is 3.151 μB per cell.



Least stable structure: 2



1 | TaMn3Cl: optimized geometry, PBE.

```
TaMn3Cl
1.0
-2.756 -3.332 -2.158
-0.134 -2.548 4.104
-3.967 2.400 1.361
Mn Cl Ta
3 1 1
direct
0.500 0.000 0.000
0.000 0.000 0.500
0.000 0.500 0.000
0.500 0.500 0.500
0.000 0.000 0.000
```

Values from the calculation:
Its total moment is 8.656 μB per cell.



2 | TaMn3Cl: optimized geometry, PBE.

```
TaMn3Cl
1.0
-0.030 -3.513 2.071
2.224 -1.750 -2.936
3.418 1.108 1.929
Cl Mn Ta
1 3 1
direct
0.000 0.000 0.000
0.000 0.500 0.000
0.500 0.000 0.000
0.000 0.000 0.500
0.500 0.500 0.500
```

Values from the calculation:
Its total moment is 0.001 μB per cell.



Least stable structure: 1



1 | MnTc2Cl: optimized geometry, PBE.

```
MnTc2Cl
1.0
0.000 3.032 3.032
3.032 0.000 3.032
3.032 3.032 0.000
Tc Cl Mn
2 1 1
direct
0.250 0.250 0.250
0.750 0.750 0.750
0.000 0.000 0.000
0.500 0.500 0.500
```

Values from the calculation:
Its total moment is 1.944 μB per cell.



2 | MnTc2Cl: optimized geometry, PBE.

```
MnTc2Cl
1.0
2.854 0.080 0.000
-1.291 2.546 0.000
0.000 0.000 8.505
Mn Cl Tc
1 1 2
direct
0.500 0.500 0.747
0.000 0.000 0.525
0.000 0.000 0.997
0.500 0.500 0.232
```

Values from the calculation:
Its total moment is 3.822 μB per cell.



3 | MnTc2Cl: optimized geometry, PBE.

```
MnTc2Cl
1.0
-2.530 -0.457 4.402
1.482 -3.558 3.337
1.199 4.189 -2.646
Cl Mn Tc
1 1 2
direct
0.495 0.495 0.000
0.275 0.775 0.500
0.732 0.232 0.500
0.998 0.998 0.000
```

Values from the calculation:
Its total moment is 1.252 μB per cell.



4 | MnTc2Cl: optimized geometry, PBE.

```
MnTc2Cl
1.0
2.945 0.000 0.000
0.000 2.945 0.000
0.000 0.000 6.557
Tc Cl Mn
2 1 1
direct
0.000 0.000 0.973
0.000 0.000 0.527
0.500 0.500 0.250
0.500 0.500 0.750
```

Values from the calculation:
Its total moment is 1.459 μB per cell.



Least stable structure: 1



1 | MnTcCl3: optimized geometry, PBE.

```
MnTcCl3
1.0
-1.867 -4.242 1.759
3.137 0.208 3.832
-3.353 2.556 2.607
Cl Tc Mn
3 1 1
direct
0.500 0.000 0.000
0.000 0.000 0.500
0.000 0.500 0.000
0.000 0.000 0.000
0.500 0.500 0.500
```

Values from the calculation:
Its total moment is 2.669 μB per cell.



2 | MnTcCl3: optimized geometry, PBE.

```
MnTcCl3
1.0
-2.586 -3.041 2.377
3.293 -3.231 -0.551
2.013 1.378 3.954
Mn Cl Tc
1 3 1
direct
0.000 0.000 0.000
0.000 0.500 0.000
0.500 0.000 0.000
0.000 0.000 0.500
0.500 0.500 0.500
```

Values from the calculation:
Its total moment is 4.761 μB per cell.



Least stable structure: 2



1 | MnTe2Cl: optimized geometry, PBE.

```
MnTe2Cl
1.0
6.030 0.051 -0.044
5.019 3.343 -0.044
1.006 0.309 5.406
Cl Te Mn
1 2 1
direct
0.750 0.750 0.750
0.928 0.928 0.075
0.572 0.572 0.425
0.250 0.250 0.250
```

Values from the calculation:
Its total moment is 4.038 μB per cell.



2 | MnTe2Cl: optimized geometry, PBE.

```
MnTe2Cl
1.0
5.938 -0.546 0.000
-2.672 5.331 0.000
0.000 0.000 3.357
Te Mn Cl
2 1 1
direct
0.000 0.000 0.000
0.500 0.500 0.000
0.000 0.500 0.500
0.500 0.000 0.500
```

Values from the calculation:
Its total moment is 4.667 μB per cell.



3 | MnTe2Cl: optimized geometry, PBE.

```
MnTe2Cl
1.0
7.703 0.089 0.023
4.683 6.117 -0.023
-5.474 -4.537 2.965
Cl Te Mn
1 2 1
direct
0.398 0.398 0.000
0.693 0.193 0.500
0.129 0.129 0.000
0.279 0.779 0.500
```

Values from the calculation:
Its total moment is 4.168 μB per cell.



4 | MnTe2Cl: optimized geometry, PBE.

```
MnTe2Cl
1.0
3.157 0.000 0.000
0.000 3.157 0.000
0.000 0.000 11.644
Te Cl Mn
2 1 1
direct
0.500 0.500 0.250
0.000 0.000 0.913
0.000 0.000 0.608
0.500 0.500 0.729
```

Values from the calculation:
Its total moment is 4.539 μB per cell.



Least stable structure: 2